Crystalline SrIr2Ru at its relaxed geometry. Source: Alexandria via LeMat-Bulk, functional PBEsol.

a = 5.7329 Å, b = 8.2500 Å, c = 2.7724 Å
α = 90.00°, β = 90.00°, γ = 90.00°
Element x y z (fractional)
Sr 0.0000 0.0000 0.0000
Sr 0.5000 0.5000 0.0000
Ir 0.2500 0.2500 0.5000
Ir 0.2500 0.7500 0.5000
Ir 0.7500 0.2500 0.5000
Ir 0.7500 0.7500 0.5000
Ru 0.0000 0.5000 0.0000
Ru 0.5000 0.0000 0.0000

Computed properties:
Volume = 16.4 Å³ per atom
Energy = -7.397 eV/atom
ΔE to the lowest computed polymorph = 280 meV per atom
Formation energy = 518 meV/atom
Total magnetic moment = 0.00 μB/atom